A plane-wave DFT calculation with PBE was carried out for a relaxed AcUTl2O6 crystal.

Unit cell a=6.2503 b=6.4056 c=10.8965 alpha=90.00 beta=124.78 gamma=90.00
Last column: nearest neighbours and their distance in Å.
Space group P2_1/c (No. 14)
Symmetry-distinct sites (fractional):
Ac: 0.0000 0.0000 0.0000 [2 per cell]  6 O 2.50-2.52
U: 0.5000 0.0000 0.5000 [2 per cell]  6 O 2.09-2.11
Tl: 0.2593 0.0125 0.7488 [4 per cell]  3 O 2.62-2.66
O: 0.1850 0.0073 0.2743 [4 per cell]  1 U 2.10
O: 0.2811 0.6911 0.0472 [4 per cell]  1 U 2.11
O: 0.3611 0.2360 0.0468 [4 per cell]  1 U 2.09

## Properties
**Spin magnetization**: 0.00 μB per formula unit
**E_tot**: -7.27 eV per atom
**N(E_F)**: 0.632 states/eV per atom



A plane-wave DFT calculation with PBE was carried out for a relaxed TlCuTe2 crystal.

Unit cell a=4.0143 b=5.6075 c=6.4243 alpha=90.27 beta=102.98 gamma=90.02
Last column: nearest neighbours and their distance in Å.
Space group P1 (No. 1)
Symmetry-distinct sites (fractional):
Tl: 0.0000 0.0000 0.0000 [1 per cell]  6 Te 3.45-3.66
Cu: 0.1592 0.5041 0.4325 [1 per cell]  4 Te 2.53-2.63
Te: 0.5798 0.5030 0.1714 [1 per cell]  2 Cu 2.54-2.63
Te: 0.7379 0.4999 0.6908 [1 per cell]  2 Cu 2.53-2.62

## Properties
**Spin magnetization**: 0.00 μB per formula unit
**E_tot**: -3.29 eV per atom
**N(E_F)**: 0.255 states/eV per atom



A plane-wave DFT calculation with PBE was carried out for a relaxed BaLi2NiAs crystal.

Unit cell a=4.9172 b=4.9172 c=4.5126 alpha=90.00 beta=90.00 gamma=90.00
Last column: nearest neighbours and their distance in Å.
Space group P4/mmm (No. 123)
Symmetry-distinct sites (fractional):
Ba: 0.0000 0.0000 0.0000 [1 per cell]  8 Li 3.34, 4 As 3.48
Li: 0.0000 0.5000 0.5000 [2 per cell]  2 Ni 2.46
Ni: 0.5000 0.5000 0.5000 [1 per cell]  2 As 2.26, 4 Li 2.46
As: 0.5000 0.5000 0.0000 [1 per cell]  2 Ni 2.26

## Properties
**Spin magnetization**: 0.36 μB per formula unit
**E_tot**: -3.59 eV per atom
**N(E_F)**: 0.508 states/eV per atom



A plane-wave DFT calculation with PBE was carried out for a relaxed BaCuPb2 crystal.

Unit cell a=5.3886 b=4.5781 c=5.4159 alpha=90.00 beta=106.68 gamma=90.00
Last column: nearest neighbours and their distance in Å.
Space group P2/m (No. 10)
Symmetry-distinct sites (fractional):
Ba: 0.0000 0.0000 0.0000 [1 per cell]  2 Cu 3.23, 4 Pb 3.60
Cu: 0.5000 0.0000 0.5000 [1 per cell]  4 Pb 2.77
Pb: 0.3211 0.5000 0.6790 [2 per cell]  2 Cu 2.77

## Properties
**Spin magnetization**: 0.00 μB per formula unit
**E_tot**: -3.60 eV per atom
**N(E_F)**: 0.317 states/eV per atom



A plane-wave DFT calculation with PBE was carried out for a relaxed BaAgRu2 crystal.

Unit cell a=2.9474 b=4.3895 c=6.7708 alpha=90.00 beta=90.00 gamma=90.00
Last column: nearest neighbours and their distance in Å.
Space group Pmmm (No. 47)
Symmetry-distinct sites (fractional):
Ba: 0.0000 0.0000 0.0000 [1 per cell]  2 Ba 2.95
Ag: 0.0000 0.0000 0.5000 [1 per cell]  8 Ru 2.89, 2 Ag 2.95
Ru: 0.5000 0.5000 0.3266 [2 per cell]  1 Ru 2.35

## Properties
**E above lowest polymorph**: 2.12 eV/f.u.
**Spin magnetization**: 1.74 μB per formula unit
**E_tot**: -5.00 eV per atom
**N(E_F)**: 1.143 states/eV per atom



A plane-wave DFT calculation with PBE was carried out for a relaxed TmScZnPd crystal.

Unit cell a=6.8313 b=6.8313 c=6.8313 alpha=90.00 beta=90.00 gamma=90.00
Last column: nearest neighbours and their distance in Å.
Space group F-43m (No. 216)
Symmetry-distinct sites (fractional):
Tm: 0.0000 0.0000 0.0000 [4 per cell]  4 Zn 2.96, 4 Pd 2.96
Sc: 0.0000 0.0000 0.5000 [4 per cell]  4 Pd 2.96, 4 Zn 2.96
Zn: 0.2500 0.2500 0.2500 [4 per cell]  4 Sc 2.96, 4 Tm 2.96
Pd: 0.2500 0.2500 0.7500 [4 per cell]  4 Tm 2.96, 4 Sc 2.96

## Properties
**E above lowest polymorph**: 0.12 eV/f.u.
**Spin magnetization**: 0.00 μB per formula unit
**E_tot**: -4.93 eV per atom
**N(E_F)**: 0.608 states/eV per atom



A plane-wave DFT calculation with PBE was carried out for a relaxed GdLuPu crystal.

Unit cell a=5.5752 b=5.5752 c=3.2237 alpha=90.00 beta=90.00 gamma=120.00
Last column: nearest neighbours and their distance in Å.
Space group P3m1 (No. 156)
Symmetry-distinct sites (fractional):
Gd: 0.0000 0.0000 0.0000 [1 per cell]  3 Lu 3.22, 2 Gd 3.22, 6 Pu 3.60
Lu: 0.3333 0.6667 0.0019 [1 per cell]  3 Gd 3.22, 2 Lu 3.22, 6 Pu 3.60
Pu: 0.6667 0.3333 0.5011 [1 per cell]  2 Pu 3.22, 6 Gd 3.60, 6 Lu 3.60

## Properties
**E above lowest polymorph**: 0.21 eV/f.u.
**Spin magnetization**: 1.59 μB per formula unit
**E_tot**: -10.81 eV per atom
**N(E_F)**: 2.728 states/eV per atom



A plane-wave DFT calculation with PBE was carried out for a relaxed Ho3Bi5Te12 crystal.

Unit cell a=18.3495 b=18.3495 c=18.3495 alpha=90.00 beta=90.00 gamma=90.00
Last column: nearest neighbours and their distance in Å.
Space group Ia-3d (No. 230)
Symmetry-distinct sites (fractional):
Ho: 0.0000 0.2500 0.1250 [24 per cell]  8 Te 3.33-3.34
Bi: 0.0000 0.0000 0.0000 [16 per cell]  6 Te 3.13
Bi: 0.0000 0.2500 0.3750 [24 per cell]  4 Te 3.00
Te: 0.0129 0.0712 0.6546 [96 per cell]  2 Bi 3.00-3.13, 2 Ho 3.33-3.34

## Properties
**Spin magnetization**: 0.00 μB per formula unit
**E_tot**: -3.99 eV per atom



A plane-wave DFT calculation with PBE was carried out for a relaxed ScCdAg4 crystal.

Unit cell a=7.7829 b=7.7829 c=7.7829 alpha=90.00 beta=90.00 gamma=90.00
Last column: nearest neighbours and their distance in Å.
Space group F-43m (No. 216)
Symmetry-distinct sites (fractional):
Sc: 0.0000 0.0000 0.0000 [4 per cell]  12 Ag 3.23, 4 Cd 3.37
Cd: 0.2500 0.2500 0.2500 [4 per cell]  12 Ag 3.23, 4 Sc 3.37
Ag: 0.1250 0.1250 0.6250 [16 per cell]  6 Ag 2.75

## Properties
**E above lowest polymorph**: 0.00 eV/f.u.
**Spin magnetization**: 0.00 μB per formula unit
**E_tot**: -3.19 eV per atom
**N(E_F)**: 0.458 states/eV per atom



A plane-wave DFT calculation with PBE was carried out for a relaxed CaMg2Co2 crystal.

Unit cell a=7.5854 b=7.5854 c=3.1568 alpha=90.00 beta=90.00 gamma=90.00
Last column: nearest neighbours and their distance in Å.
Space group P4/mbm (No. 127)
Symmetry-distinct sites (fractional):
Ca: 0.0000 0.0000 0.0000 [2 per cell]  4 Co 3.08, 2 Ca 3.16, 8 Mg 3.22
Mg: 0.1717 0.3283 0.5000 [4 per cell]  6 Co 2.69-2.83
Co: 0.1089 0.6089 0.0000 [4 per cell]  1 Co 2.34

## Properties
**E above lowest polymorph**: 0.08 eV/f.u.
**Spin magnetization**: 1.89 μB per formula unit
**E_tot**: -3.66 eV per atom
**N(E_F)**: 1.144 states/eV per atom



A plane-wave DFT calculation with PBE was carried out for a relaxed PmIn2 crystal.

Unit cell a=9.4213 b=6.3995 c=6.5167 alpha=90.00 beta=121.92 gamma=90.00
Last column: nearest neighbours and their distance in Å.
Space group C2/c (No. 15)
Symmetry-distinct sites (fractional):
Pm: 0.0000 0.1220 0.2500 [4 per cell]  10 In 3.25-3.61, 2 Pm 3.61
In: 0.1623 0.3923 0.7681 [8 per cell]  2 In 2.94-3.15, 1 Pm 3.25

## Properties
**E above lowest polymorph**: 0.23 eV/f.u.
**Spin magnetization**: 0.00 μB per formula unit
**E_tot**: -3.75 eV per atom
**N(E_F)**: 0.708 states/eV per atom



A plane-wave DFT calculation with PBE was carried out for a relaxed Al2ReOs crystal.

Unit cell a=8.5805 b=2.8221 c=4.8967 alpha=90.00 beta=101.12 gamma=90.00
Last column: nearest neighbours and their distance in Å.
Space group C2/m (No. 12)
Symmetry-distinct sites (fractional):
Al: 0.2467 0.0000 0.2425 [4 per cell]  3 Os 2.63-2.67, 3 Re 2.66-2.69, 6 Al 2.77-2.88
Re: 0.0000 0.0000 0.5000 [2 per cell]  6 Al 2.66-2.69, 2 Re 2.82, 4 Os 2.83
Os: 0.0000 0.5000 0.0000 [2 per cell]  6 Al 2.63-2.67, 2 Os 2.82, 4 Re 2.83

## Properties
**E above lowest polymorph**: 0.52 eV/f.u.
**Spin magnetization**: 0.00 μB per formula unit
**E_tot**: -7.89 eV per atom
**N(E_F)**: 0.772 states/eV per atom